Record 1
Material: RbNb2PdN
Method: DFT, GGA-PBEsol
State: optimized geometry Values from VASP.

```
&SYSTEM
  ibrav = 0, nat = 5, ntyp = 4
/
ATOMIC_SPECIES
Nb 92.91 Nb.upf
Rb 85.47 Rb.upf
Pd 106.42 Pd.upf
N 14.01 N.upf
ATOMIC_POSITIONS angstrom
Nb 0.000 0.000 2.626
Nb 0.000 2.626 0.000
Rb 1.909 2.626 2.626
Pd 0.000 0.000 0.000
N 1.909 0.000 0.000
CELL_PARAMETERS angstrom
3.817 0.000 0.000
0.000 5.253 0.000
0.000 0.000 5.253
```

Calculated values
formation energy (no corrections)	1.9212	eV per atom
V	105.3	Å³/cell
space group	P4/mmm, No. 123
energy	-27.55	eV/cell


Record 2
Material: Sr2ReNiO6
Method: DFT, GGA-PBEsol
State: optimized geometry Values from VASP.

```
&SYSTEM
  ibrav = 0, nat = 10, ntyp = 4
/
ATOMIC_SPECIES
Re 186.21 Re.upf
Ni 58.69 Ni.upf
O 16.00 O.upf
Sr 87.62 Sr.upf
ATOMIC_POSITIONS angstrom
Re 2.755 1.573 2.262
Ni 0.000 0.000 0.000
O 3.824 2.487 3.577
O 4.356 0.963 1.385
O 1.154 2.183 3.140
O 1.686 0.659 0.948
O 0.000 4.823 3.358
O 2.755 3.139 1.173
Sr 2.755 4.768 3.397
Sr 0.000 3.195 1.135
CELL_PARAMETERS angstrom
5.510 0.000 0.000
-2.755 4.818 0.007
0.000 3.145 4.525
```

Calculated values
formation energy (no corrections)	-2.0418	eV per atom
V	120.0	Å³/cell
space group	I4/m, No. 87
energy	-75.08	eV/cell


Record 3
Material: CrIn
Method: DFT, GGA-PBEsol
State: optimized geometry Values from VASP.

```
&SYSTEM
  ibrav = 0, nat = 4, ntyp = 2
/
ATOMIC_SPECIES
Cr 52.00 Cr.upf
In 114.82 In.upf
ATOMIC_POSITIONS angstrom
Cr 0.216 0.250 1.841
Cr -6.704 -0.390 4.799
In -4.193 0.882 4.248
In -2.295 -1.022 2.392
CELL_PARAMETERS angstrom
-0.192 -2.955 0.424
1.358 1.718 2.037
-7.655 1.097 4.179
```

Calculated values
V	68.1	Å³/cell
space group	P-3m1, No. 164
energy	-24.67	eV/cell


Record 4
Material: SnGeP2O
Method: DFT, GGA-PBEsol
State: optimized geometry Values from VASP.

```
&SYSTEM
  ibrav = 0, nat = 5, ntyp = 4
/
ATOMIC_SPECIES
P 30.97 P.upf
Ge 72.64 Ge.upf
Sn 118.71 Sn.upf
O 16.00 O.upf
ATOMIC_POSITIONS angstrom
P 1.844 -0.646 1.598
P 1.700 0.296 -1.842
Ge 3.325 -2.211 -0.745
Sn 0.000 0.000 0.000
O -0.219 -1.861 -0.500
CELL_PARAMETERS angstrom
-0.437 -3.722 -1.001
3.400 0.591 -3.684
3.687 -1.292 3.195
```

Calculated values
formation energy (no corrections)	0.4489	eV per atom
V	98.8	Å³/cell
space group	P4/mmm, No. 123
energy	-23.79	eV/cell


Record 5
Material: ErMgAg
Method: DFT, GGA-PBEsol
State: optimized geometry Values from VASP.

```
&SYSTEM
  ibrav = 0, nat = 9, ntyp = 3
/
ATOMIC_SPECIES
Mg 24.30 Mg.upf
Ag 107.87 Ag.upf
Er 167.26 Er.upf
ATOMIC_POSITIONS angstrom
Mg 0.000 -0.940 1.628
Mg 0.000 2.847 4.931
Mg 0.000 1.880 0.000
Ag 0.000 3.787 2.186
Ag 0.000 0.000 4.372
Ag 2.007 0.000 0.000
Er 2.007 -2.223 3.850
Er 2.007 4.446 0.000
Er 2.007 1.564 2.709
CELL_PARAMETERS angstrom
4.013 0.000 0.000
0.000 7.573 0.000
0.000 -3.787 6.559
```

Calculated values
V	199.3	Å³/cell
space group	P-62m, No. 189
energy	-32.30	eV/cell


Record 6
Material: KLiY2Mo4O16
Method: DFT, GGA-PBEsol
State: optimized geometry Values from VASP.

```
&SYSTEM
  ibrav = 0, nat = 48, ntyp = 5
/
ATOMIC_SPECIES
K 39.10 K.upf
Li 6.94 Li.upf
Y 88.91 Y.upf
Mo 95.94 Mo.upf
O 16.00 O.upf
ATOMIC_POSITIONS angstrom
K 5.440 5.817 4.847
K 3.415 0.420 14.480
Li 5.440 2.310 4.847
Li 3.415 3.927 14.480
Y 5.675 4.406 9.049
Y 3.179 1.831 10.278
Y 5.204 4.406 0.645
Y 3.651 1.831 18.682
Mo 5.705 0.772 7.889
Mo 3.149 5.465 11.439
Mo 5.174 0.772 1.805
Mo 3.681 5.465 17.522
Mo 3.025 3.164 6.817
Mo 5.830 3.073 12.510
Mo 2.693 3.164 2.853
Mo 6.162 3.073 16.475
O 6.513 2.104 8.864
O 2.341 4.133 10.463
O 4.366 2.104 0.830
O 4.488 4.133 18.498
O 2.246 1.674 6.355
O 6.609 4.563 12.972
O 3.472 1.674 3.314
O 5.383 4.563 16.013
O 1.387 0.233 0.722
O 7.467 6.004 18.605
O 4.331 0.233 8.947
O 4.524 6.004 10.380
O 1.721 2.953 1.301
O 7.133 3.284 18.026
O 3.996 2.953 8.369
O 4.858 3.284 10.959
O 0.786 1.131 3.292
O 8.069 5.106 16.035
O 4.932 1.131 6.378
O 3.922 5.106 12.950
O 2.157 0.618 17.332
O 6.697 5.619 1.995
O 4.672 0.618 11.629
O 4.182 5.619 7.699
O 6.871 4.327 7.135
O 1.983 1.910 12.192
O 4.008 4.327 2.559
O 4.847 1.910 16.769
O 6.803 3.653 4.164
O 2.051 2.584 15.163
O 4.076 3.653 5.530
O 4.778 2.584 13.798
CELL_PARAMETERS angstrom
5.162 0.000 0.024
2.581 6.237 0.012
1.112 0.000 19.291
```

Calculated values
formation energy (no corrections)	-2.4512	eV per atom
V	620.9	Å³/cell
space group	C2/c, No. 15
energy	-413.27	eV/cell


Record 7
Material: TcNiAs3
Method: DFT, GGA-PBEsol
State: optimized geometry Values from VASP.

```
&SYSTEM
  ibrav = 0, nat = 5, ntyp = 3
/
ATOMIC_SPECIES
Ni 58.69 Ni.upf
As 74.92 As.upf
Tc 98.00 Tc.upf
ATOMIC_POSITIONS angstrom
Ni 2.349 2.349 2.349
As 0.000 2.349 0.000
As 0.000 0.000 2.349
As 2.349 0.000 0.000
Tc 0.000 0.000 0.000
CELL_PARAMETERS angstrom
4.698 0.000 0.000
0.000 4.698 0.000
0.000 0.000 4.698
```

Calculated values
V	103.7	Å³/cell
space group	Pm-3m, No. 221
energy	-28.23	eV/cell


Record 8
Material: CrFeNi6
Method: DFT, GGA-PBEsol
State: optimized geometry Values from VASP.

```
&SYSTEM
  ibrav = 0, nat = 32, ntyp = 3
/
ATOMIC_SPECIES
Cr 52.00 Cr.upf
Fe 55.84 Fe.upf
Ni 58.69 Ni.upf
ATOMIC_POSITIONS angstrom
Cr -1.553 -2.370 5.878
Cr -4.173 1.656 4.735
Cr 0.139 2.102 7.086
Cr 0.046 0.702 2.367
Fe -1.643 -3.775 1.152
Fe -4.268 0.257 0.007
Fe -2.817 0.345 7.674
Fe -2.909 -1.059 2.939
Ni -1.505 -1.672 8.238
Ni -4.921 0.826 8.856
Ni -0.666 0.565 8.850
Ni -4.128 2.358 7.094
Ni -1.976 2.578 8.278
Ni -3.611 -1.188 9.427
Ni -2.863 -0.357 5.306
Ni -0.709 -0.134 6.483
Ni -2.018 1.878 5.912
Ni -1.598 -3.072 3.518
Ni -5.017 -0.580 4.129
Ni -0.755 -0.835 4.121
Ni -4.221 0.958 2.374
Ni -2.065 1.177 3.550
Ni -3.708 -2.592 4.700
Ni -2.955 -1.759 0.580
Ni -0.805 -1.540 1.756
Ni -2.115 0.474 1.185
Ni 0.092 1.402 4.726
Ni -3.661 -1.891 7.062
Ni -4.971 0.121 6.491
Ni 0.000 0.000 0.000
Ni -3.749 -3.292 2.334
Ni -5.060 -1.279 1.762
CELL_PARAMETERS angstrom
-5.572 2.262 -0.562
-0.338 -5.780 1.721
0.185 2.804 9.453
```

Calculated values
V	339.2	Å³/cell
space group	Cmmm, No. 65
energy	-225.38	eV/cell


Record 9
Material: KC2N3
Method: DFT, GGA-PBEsol
State: optimized geometry Values from VASP.

```
&SYSTEM
  ibrav = 0, nat = 24, ntyp = 3
/
ATOMIC_SPECIES
C 12.01 C.upf
K 39.10 K.upf
N 14.01 N.upf
ATOMIC_POSITIONS angstrom
C -0.112 0.995 14.461
C 1.392 4.782 6.440
C 3.552 4.751 1.582
C 2.048 0.964 9.604
C 2.935 5.526 12.509
C 2.665 0.189 4.487
C 0.505 0.220 3.534
C 0.776 5.557 11.556
K 0.864 4.237 14.896
K 0.417 1.540 6.874
K 2.577 1.509 1.148
K 3.023 4.206 9.169
N 0.497 1.500 15.357
N 0.784 4.278 7.335
N 2.944 4.247 0.686
N 2.657 1.469 8.708
N 3.401 0.443 13.594
N 2.199 5.272 5.572
N 0.039 5.303 2.449
N 1.241 0.474 10.471
N 2.104 5.159 11.566
N 3.496 0.556 3.544
N 1.337 0.587 4.478
N -0.056 5.191 12.499
CELL_PARAMETERS angstrom
4.319 -0.062 0.000
-0.879 5.808 0.000
0.000 0.000 16.043
```

Calculated values
formation energy (no corrections)	-0.1900	eV per atom
V	401.6	Å³/cell
space group	P2_1/c, No. 14
energy	-188.56	eV/cell


Record 10
Material: Y2OsPt
Method: DFT, GGA-PBEsol
State: optimized geometry Values from VASP.

```
&SYSTEM
  ibrav = 0, nat = 4, ntyp = 3
/
ATOMIC_SPECIES
Os 190.23 Os.upf
Pt 195.08 Pt.upf
Y 88.91 Y.upf
ATOMIC_POSITIONS angstrom
Os -2.574 -0.658 -1.046
Pt -0.790 -3.038 -0.041
Y 0.000 0.000 0.000
Y -2.019 -1.403 1.952
CELL_PARAMETERS angstrom
-3.803 0.977 0.947
-1.346 -2.293 -3.040
2.339 -3.124 4.005
```

Calculated values
V	78.4	Å³/cell
space group	I-4m2, No. 119
energy	-34.25	eV/cell


Record 11
Material: YMo2P
Method: DFT, GGA-PBEsol
State: optimized geometry Values from VASP.

```
&SYSTEM
  ibrav = 0, nat = 4, ntyp = 3
/
ATOMIC_SPECIES
Mo 95.94 Mo.upf
P 30.97 P.upf
Y 88.91 Y.upf
ATOMIC_POSITIONS angstrom
Mo 1.882 0.000 3.480
Mo 1.116 0.000 1.074
P 1.718 2.277 0.009
Y -0.219 2.277 2.268
CELL_PARAMETERS angstrom
3.436 0.000 0.018
0.000 4.553 0.000
-0.438 0.000 4.535
```

Calculated values
V	71.0	Å³/cell
space group	P2/m, No. 10
energy	-36.05	eV/cell


Record 12
Material: Mg30AlCrO32
Method: DFT, GGA-PBEsol
State: optimized geometry Values from VASP.

```
&SYSTEM
  ibrav = 0, nat = 64, ntyp = 4
/
ATOMIC_SPECIES
Mg 24.30 Mg.upf
Al 26.98 Al.upf
Cr 52.00 Cr.upf
O 16.00 O.upf
ATOMIC_POSITIONS angstrom
Mg 0.000 4.221 0.000
Mg 4.221 0.000 0.000
Mg 0.000 0.000 4.212
Mg 0.000 4.221 4.212
Mg 4.221 0.000 4.212
Mg 4.221 4.221 4.212
Mg 2.142 2.142 0.000
Mg 2.142 6.300 0.000
Mg 6.300 2.142 0.000
Mg 6.300 6.300 0.000
Mg 2.117 2.117 4.212
Mg 2.117 6.325 4.212
Mg 6.325 2.117 4.212
Mg 6.325 6.325 4.212
Mg 0.000 2.119 2.106
Mg 0.000 6.323 2.106
Mg 4.221 2.125 2.091
Mg 4.221 6.318 2.091
Mg 0.000 2.119 6.318
Mg 0.000 6.323 6.318
Mg 4.221 2.125 6.333
Mg 4.221 6.318 6.333
Mg 2.119 0.000 2.106
Mg 2.125 4.221 2.091
Mg 6.323 0.000 2.106
Mg 6.318 4.221 2.091
Mg 2.119 0.000 6.318
Mg 2.125 4.221 6.333
Mg 6.323 0.000 6.318
Mg 6.318 4.221 6.333
Al 0.000 0.000 0.000
Cr 4.221 4.221 0.000
O 0.000 0.000 1.986
O 0.000 4.221 2.094
O 4.221 0.000 2.094
O 4.221 4.221 2.117
O 0.000 0.000 6.438
O 0.000 4.221 6.330
O 4.221 0.000 6.330
O 4.221 4.221 6.307
O 2.107 2.107 2.104
O 2.107 6.335 2.104
O 6.335 2.107 2.104
O 6.335 6.335 2.104
O 2.107 2.107 6.321
O 2.107 6.335 6.321
O 6.335 2.107 6.321
O 6.335 6.335 6.321
O 0.000 1.973 0.000
O 0.000 6.469 0.000
O 4.221 2.032 0.000
O 4.221 6.410 0.000
O 0.000 2.090 4.212
O 0.000 6.353 4.212
O 4.221 2.106 4.212
O 4.221 6.336 4.212
O 1.973 0.000 0.000
O 2.032 4.221 0.000
O 6.469 0.000 0.000
O 6.410 4.221 0.000
O 2.090 0.000 4.212
O 2.106 4.221 4.212
O 6.353 0.000 4.212
O 6.336 4.221 4.212
CELL_PARAMETERS angstrom
8.442 0.000 0.000
0.000 8.442 0.000
0.000 0.000 8.424
```

Calculated values
formation energy (no corrections)	-2.6457	eV per atom
V	600.4	Å³/cell
space group	P4/mmm, No. 123
energy	-403.15	eV/cell